An optimized crystal structure of CsBa2AlO. Source: Alexandria, functional PBE.

The structure belongs to space group P4/mmm (No. 123); the cell edges are 7.5037, 7.5037 and 3.7474 Å and the angles 90.00°, 90.00° and 90.00°. Symmetry generates all atoms from Cs at (0.0000, 0.0000, 0.0000), Ba at (0.0000, 0.5000, 0.5000), Al at (0.5000, 0.5000, 0.5000) and O at (0.5000, 0.5000, 0.0000).

The magnetization comes out at 0.00 Bohr magnetons per cell. The value obtained for the energy relative to the elements, uncorrected is -0.1591 eV per atom. The calculated density is 3.546 g/cm³.